Compound: CsCl2
Source: the Alexandria database
Functional: GGA-PBE
Structure: relaxed

Properties
raw formation energy: -1.349 eV per atom
SG: C2/m, No. 12

Unit cell a=7.3543 b=6.6053 c=10.2478 alpha=90.00 beta=93.29 gamma=90.00
With the nearest neighbours (Å) after each atom.
Element x y z (fractional)
Cl (0.9146, 0.0000, 0.9085)  1 Cl 2.20
Cl (0.0854, 0.5000, 0.5915)  1 Cl 2.20
Cl (0.2750, 0.0000, 0.3283)  1 Cl 2.73
Cl (0.7250, 0.5000, 0.1717)  1 Cl 2.73
Cl (0.2750, 0.5000, 0.8283)  1 Cl 2.73
Cs (0.7496, 0.5000, 0.8243)  8 Cl 3.49-3.86
Cs (0.7496, 0.0000, 0.3243)  8 Cl 3.49-3.86
Cl (0.9146, 0.5000, 0.4085)  1 Cl 2.20
Cl (0.7250, 0.0000, 0.6717)  1 Cl 2.73
Cl (0.0854, 0.0000, 0.0915)  1 Cl 2.20
Cs (0.2504, 0.0000, 0.6757)  8 Cl 3.49-3.86
Cs (0.2504, 0.5000, 0.1757)  8 Cl 3.49-3.86